a.
Density functional theory data (PBE-GGA) for Pm2PaCd after structural relaxation.

The structure in extended XYZ format:
```
4
Lattice="0.000 3.836 3.836 3.836 0.000 3.836 3.836 3.836 0.000" Properties=species:S:1:pos:R:3 pbc="T T T"
Pm 1.918 1.918 1.918
Pm 5.754 5.754 5.754
Pa 0.000 0.000 0.000
Cd 3.836 3.836 3.836
```


b.
Density functional theory data (PBE-GGA) for Pm2PaCd after structural relaxation.

The structure in extended XYZ format:
```
4
Lattice="1.704 0.984 12.096 -1.704 0.984 12.096 0.000 -1.968 12.096" Properties=species:S:1:pos:R:3 pbc="T T T"
Pm 0.000 0.000 3.265
Pm 0.000 0.000 33.023
Pa 0.000 0.000 18.144
Cd 0.000 0.000 0.000
```


c.
Density functional theory data (PBE-GGA) for Pm2PaCd after structural relaxation.

The structure in extended XYZ format:
```
4
Lattice="3.473 0.000 0.000 0.000 3.473 0.000 0.000 0.000 9.408" Properties=species:S:1:pos:R:3 pbc="T T T"
Pm 0.000 0.000 2.279
Pm 0.000 0.000 7.129
Pa 1.736 1.736 4.704
Cd 1.736 1.736 0.000
```


Stability summary - winner: c; margin: 24.6 kJ/mol of atoms.


a.
Density functional theory data (PBE-GGA) for PuPaCd2 after structural relaxation.

The structure in extended XYZ format:
```
4
Lattice="1.534 0.886 12.456 -1.534 0.886 12.456 0.000 -1.771 12.456" Properties=species:S:1:pos:R:3 pbc="T T T"
Pu 0.000 0.000 0.000
Pa 0.000 0.000 18.683
Cd 0.000 0.000 15.348
Cd 0.000 0.000 22.019
```


b.
Density functional theory data (PBE-GGA) for PuPaCd2 after structural relaxation.

The structure in extended XYZ format:
```
4
Lattice="4.346 0.000 0.000 0.000 4.346 0.000 0.000 0.000 5.051" Properties=species:S:1:pos:R:3 pbc="T T T"
Pu 0.000 0.000 0.000
Pa 2.173 2.173 0.000
Cd 0.000 2.173 2.525
Cd 2.173 0.000 2.525
```


Stability summary - winner: b; margin: 25.3 kJ/mol of atoms.


a.
Density functional theory data (PBE-GGA) for PuPa2Cd after structural relaxation.

The structure in extended XYZ format:
```
4
Lattice="1.763 1.018 9.827 -1.763 1.018 9.827 0.000 -2.036 9.827" Properties=species:S:1:pos:R:3 pbc="T T T"
Pu 0.000 0.000 0.000
Pa 0.000 0.000 11.518
Pa 0.000 0.000 17.962
Cd 0.000 0.000 14.740
```


b.
Density functional theory data (PBE-GGA) for PuPa2Cd after structural relaxation.

The structure in extended XYZ format:
```
4
Lattice="5.421 0.000 0.000 0.000 5.421 0.000 0.000 0.000 3.260" Properties=species:S:1:pos:R:3 pbc="T T T"
Pu 0.000 0.000 0.000
Pa 0.000 2.711 1.630
Pa 2.711 0.000 1.630
Cd 2.711 2.711 0.000
```


Stability summary - winner: b; margin: 48.5 kJ/mol of atoms.


a.
Density functional theory data (PBE-GGA) for Pu2PaCd after structural relaxation.

The structure in extended XYZ format:
```
4
Lattice="4.597 0.000 0.000 0.000 4.597 0.000 0.000 0.000 4.786" Properties=species:S:1:pos:R:3 pbc="T T T"
Pu 0.000 2.298 0.000
Pu 2.298 0.000 0.000
Pa 0.000 0.000 2.393
Cd 2.298 2.298 2.393
```


b.
Density functional theory data (PBE-GGA) for Pu2PaCd after structural relaxation.

The structure in extended XYZ format:
```
4
Lattice="0.000 3.671 3.671 3.671 0.000 3.671 3.671 3.671 0.000" Properties=species:S:1:pos:R:3 pbc="T T T"
Pu 1.836 1.836 1.836
Pu 5.507 5.507 5.507
Pa 0.000 0.000 0.000
Cd 3.671 3.671 3.671
```


c.
Density functional theory data (PBE-GGA) for Pu2PaCd after structural relaxation.

The structure in extended XYZ format:
```
4
Lattice="3.327 0.000 0.000 0.000 3.327 0.000 0.000 0.000 9.007" Properties=species:S:1:pos:R:3 pbc="T T T"
Pu 0.000 0.000 2.096
Pu 0.000 0.000 6.912
Pa 1.663 1.663 0.000
Cd 1.663 1.663 4.504
```


d.
Density functional theory data (PBE-GGA) for Pu2PaCd after structural relaxation.

The structure in extended XYZ format:
```
4
Lattice="1.975 1.140 9.256 -1.975 1.140 9.256 0.000 -2.281 9.256" Properties=species:S:1:pos:R:3 pbc="T T T"
Pu 0.000 0.000 3.188
Pu 0.000 0.000 24.581
Pa 0.000 0.000 13.884
Cd 0.000 0.000 0.000
```


Stability summary - winner: c; margin: 11.2 kJ/mol of atoms.


a.
Density functional theory data (PBE-GGA) for PuPaCd after structural relaxation.

The structure in extended XYZ format:
```
6
Lattice="3.355 0.000 0.000 0.000 3.355 0.000 0.000 0.000 13.088" Properties=species:S:1:pos:R:3 pbc="T T T"
Pu 0.839 0.839 3.197
Pu 2.516 2.516 9.891
Pa 0.839 0.839 12.005
Pa 2.516 2.516 1.083
Cd 0.839 0.839 7.538
Cd 2.516 2.516 5.550
```


b.
Density functional theory data (PBE-GGA) for PuPaCd after structural relaxation.

The structure in extended XYZ format:
```
3
Lattice="-1.868 1.868 5.262 1.868 -1.868 5.262 1.868 1.868 -5.262" Properties=species:S:1:pos:R:3 pbc="T T T"
Pu 0.000 0.000 0.000
Pa 0.000 0.000 6.643
Cd 0.000 0.000 3.335
```


c.
Density functional theory data (PBE-GGA) for PuPaCd after structural relaxation.

The structure in extended XYZ format:
```
6
Lattice="5.807 -1.540 0.000 5.807 1.540 0.000 -4.518 0.000 8.104" Properties=species:S:1:pos:R:3 pbc="T T T"
Pu 0.850 0.000 1.269
Pu 6.247 0.000 6.835
Pa 3.605 0.000 1.365
Pa 3.492 0.000 6.739
Cd -0.749 0.000 4.113
Cd 7.846 0.000 3.992
```


Stability summary - winner: a; margin: 6.4 kJ/mol of atoms.


a.
Density functional theory data (PBE-GGA) for Pa2CdRe after structural relaxation.

The structure in extended XYZ format:
```
4
Lattice="3.187 0.000 0.000 0.000 3.187 0.000 0.000 0.000 8.983" Properties=species:S:1:pos:R:3 pbc="T T T"
Pa 0.000 0.000 1.887
Pa 0.000 0.000 7.096
Cd 1.593 1.593 4.491
Re 1.593 1.593 0.000
```


b.
Density functional theory data (PBE-GGA) for Pa2CdRe after structural relaxation.

The structure in extended XYZ format:
```
4
Lattice="1.550 0.895 11.292 -1.550 0.895 11.292 0.000 -1.790 11.292" Properties=species:S:1:pos:R:3 pbc="T T T"
Pa 0.000 0.000 3.331
Pa 0.000 0.000 30.545
Cd 0.000 0.000 0.000
Re 0.000 0.000 16.938
```


Stability summary - winner: a; margin: 34.5 kJ/mol of atoms.